# 1
First-principles (PBE-GGA) data for a relaxed AcAgAsF crystal, as listed in the Alexandria database.

Computed properties:
For the volume, the calculation gives 20.86 A^3/atom. Its raw formation energy is -1.903 eV/atom. The value obtained for the density of states at the Fermi level is 0.41 states/eV per cell. As for the size of the total moment: 0.000 μB/atom. Its space-group type is P4/nmm (129).

Unit cell a=4.271 b=4.271 c=9.149 alpha=90.00 beta=90.00 gamma=90.00
Positions (direct):
As 0.000 0.500 0.304
As 0.500 0.000 0.696
F 0.500 0.500 0.000
F 0.000 0.000 0.000
Ac 0.500 0.000 0.180
Ac 0.000 0.500 0.820
Ag 0.500 0.500 0.500
Ag 0.000 0.000 0.500

---

# 2
First-principles (PBE-GGA) data for a relaxed AcAgGeAs crystal, as listed in the Alexandria database.

Computed properties:
The calculation puts the formation energy at -0.150 eV per atom. For the volume, the calculation gives 24.64 A^3/atom. The value obtained for the density of states at the Fermi level is 2.33 states/eV per cell. As for the size of the total moment: 0.000 μB/atom. Its space-group type is F-43m (216).

Unit cell a=5.185 b=5.185 c=5.185 alpha=60.00 beta=60.00 gamma=60.00
Positions (direct):
Ag 0.250 0.250 0.250
Ac 0.000 0.000 0.000
As 0.500 0.500 0.500
Ge 0.750 0.750 0.750

---

# 3
First-principles (PBE-GGA) data for a relaxed AcAgAsH crystal, as listed in the Alexandria database.

Computed properties:
For the volume, the calculation gives 19.77 A^3/atom. The value obtained for the polymorph energy (0 for the lowest one) is 0 meV per atom. The value obtained for the density of states at the Fermi level is 0.29 states/eV per cell. As for the size of the total moment: 0.000 μB/atom. Its space-group type is P4/nmm (129).

Unit cell a=4.352 b=4.352 c=8.353 alpha=90.00 beta=90.00 gamma=90.00
Positions (direct):
H 0.500 0.500 0.000
H 0.000 0.000 0.000
Ag 0.000 0.000 0.500
Ag 0.500 0.500 0.500
Ac 0.000 0.500 0.834
Ac 0.500 0.000 0.166
As 0.500 0.000 0.711
As 0.000 0.500 0.289

---

# 4
First-principles (PBE-GGA) data for a relaxed AcAgAsH crystal, as listed in the Alexandria database.

Computed properties:
For the volume, the calculation gives 21.28 A^3/atom. The value obtained for the polymorph energy (0 for the lowest one) is 300 meV per atom. As for the size of the total moment: 0.000 μB/atom. Its space-group type is F-43m (216).

Unit cell a=4.938 b=4.938 c=4.938 alpha=60.00 beta=60.00 gamma=60.00
Positions (direct):
H 0.000 0.000 0.000
As 0.500 0.500 0.500
Ag 0.250 0.250 0.250
Ac 0.750 0.750 0.750

---

# 5
First-principles (PBE-GGA) data for a relaxed AcInAgAs crystal, as listed in the Alexandria database.

Computed properties:
The calculation puts the formation energy at -0.402 eV per atom. For the volume, the calculation gives 26.71 A^3/atom. The value obtained for the density of states at the Fermi level is 3.83 states/eV per cell. As for the size of the total moment: 0.000 μB/atom. Its space-group type is F-43m (216).

Unit cell a=5.326 b=5.326 c=5.326 alpha=60.00 beta=60.00 gamma=60.00
Positions (direct):
In 0.750 0.750 0.750
As 0.500 0.500 0.500
Ac 0.250 0.250 0.250
Ag 0.000 0.000 0.000

---

# 6
First-principles (PBE-GGA) data for a relaxed AcMgAgAs crystal, as listed in the Alexandria database.

Computed properties:
The calculation puts the formation energy at -0.456 eV per atom. For the volume, the calculation gives 25.59 A^3/atom. The value obtained for the density of states at the Fermi level is 2.16 states/eV per cell. As for the size of the total moment: 0.000 μB/atom. Its space-group type is F-43m (216).

Unit cell a=5.250 b=5.250 c=5.250 alpha=60.00 beta=60.00 gamma=60.00
Positions (direct):
Ac 0.500 0.500 0.500
As 0.750 0.750 0.750
Ag 0.250 0.250 0.250
Mg 0.000 0.000 0.000

---

# 7
First-principles (PBE-GGA) data for a relaxed Ac2Ni3AgAs4 crystal, as listed in the Alexandria database.

Computed properties:
The calculation puts the formation energy at -0.735 eV per atom. For the volume, the calculation gives 19.33 A^3/atom. The value obtained for the density of states at the Fermi level is 4.59 states/eV per cell. As for the size of the total moment: 0.000 μB/atom. Its space-group type is P-4m2 (115).

Unit cell a=4.420 b=4.420 c=9.896 alpha=90.00 beta=90.00 gamma=90.00
Positions (direct):
As 0.000 0.000 0.000
As 0.500 0.500 0.000
As 0.500 0.000 0.644
As 0.000 0.500 0.356
Ac 0.000 0.500 0.756
Ac 0.500 0.000 0.244
Ni 0.000 0.000 0.500
Ni 0.500 0.000 0.893
Ni 0.000 0.500 0.107
Ag 0.500 0.500 0.500

---

# 8
First-principles (PBE-GGA) data for a relaxed Ac3AgAs4O12 crystal, as listed in the Alexandria database.

Computed properties:
For the volume, the calculation gives 20.38 A^3/atom. Its raw formation energy is -1.593 eV/atom. The value obtained for the density of states at the Fermi level is 5.36 states/eV per cell. As for the size of the total moment: 0.000 μB/atom. Its space-group type is R32 (155).

Unit cell a=7.716 b=7.716 c=7.716 alpha=104.30 beta=104.30 gamma=104.30
Positions (direct):
O 0.624 0.784 0.991
O 0.216 0.376 0.009
O 0.009 0.216 0.376
O 0.500 0.090 0.910
O 0.784 0.991 0.624
O 0.991 0.624 0.784
O 0.090 0.910 0.500
O 0.660 0.500 0.340
O 0.910 0.500 0.090
O 0.500 0.340 0.660
O 0.376 0.009 0.216
O 0.340 0.660 0.500
As 0.500 0.945 0.055
As 0.945 0.055 0.500
As 0.055 0.500 0.945
As 0.500 0.500 0.500
Ag 0.000 0.000 0.000
Ac 0.549 0.451 0.000
Ac 0.000 0.549 0.451
Ac 0.451 0.000 0.549